# YTa2Cu

A relaxed YTa2Cu crystal (PBE, the Alexandria database).

Results
Size of the total moment: 0.0 μB per formula unit
Crystal system: orthorhombic
Volume: 19.47 Å³ per atom
Offset from the most stable computed form: 0.3558 eV per atom

Lattice parameters (Å, degrees): 5.6375 9.6657 2.8579 90.00 90.00 90.00
With the nearest neighbours (Å) after each atom.
Space group Cmmm (No. 65)
Asymmetric unit:
1 Y 0.0000 0.0000 0.0000 (multiplicity 2)  2 Cu 2.82, 2 Y 2.86, 8 Ta 3.14
2 Ta 0.2500 0.2500 0.5000 (multiplicity 4)  4 Ta 2.82-2.86, 4 Cu 3.14, 4 Y 3.14
3 Cu 0.0000 0.5000 0.0000 (multiplicity 2)  2 Y 2.82, 2 Cu 2.86, 8 Ta 3.14